Run w
BaOs3Pt: optimized geometry, PBE-GGA.

Computed properties:
DOS(E_F)	12.77	states/eV/cell
space group	No. 221

The structure in POSCAR format:
```
BaOs3Pt
1.0
-3.488 3.314 -0.991
-1.819 -0.560 4.528
2.942 3.582 1.625
Os Ba Pt
3 1 1
Direct
0.000 0.500 0.000
0.000 0.000 0.500
0.500 0.000 0.000
0.500 0.500 0.500
0.000 0.000 0.000
```



Run x
BaOs3Pt: optimized geometry, PBE-GGA.

Computed properties:
DOS(E_F)	5.87	states/eV/cell
space group	No. 221

The structure in POSCAR format:
```
BaOs3Pt
1.0
4.961 0.000 0.000
0.000 4.961 0.000
0.000 0.000 4.961
Os Ba Pt
3 1 1
Direct
0.000 0.500 0.000
0.000 0.000 0.500
0.500 0.000 0.000
0.000 0.000 0.000
0.500 0.500 0.500
```



What should be chosen as the least stable of them? Choose run x.



Run w
RbBaOs: optimized geometry, PBE-GGA.

Computed properties:
DOS(E_F)	11.94	states/eV/cell
space group	No. 12

The structure in POSCAR format:
```
RbBaOs
1.0
17.700 0.000 0.066
0.000 4.341 0.000
-0.048 0.000 7.521
Os Ba Rb
4 4 4
Direct
0.496 0.000 0.833
0.504 0.000 0.167
0.496 0.500 0.333
0.504 0.500 0.667
0.370 0.000 0.499
0.630 0.000 0.501
0.370 0.500 0.999
0.630 0.500 0.001
0.123 0.000 0.827
0.877 0.000 0.173
0.123 0.500 0.327
0.877 0.500 0.673
```



Run x
RbBaOs: optimized geometry, PBE-GGA.

Computed properties:
DOS(E_F)	3.49	states/eV/cell
space group	No. 1

The structure in POSCAR format:
```
RbBaOs
1.0
4.225 0.000 0.001
-2.112 3.658 0.001
-0.005 -0.025 18.208
Os Ba Rb
2 2 2
Direct
0.307 0.655 0.251
0.974 0.989 0.275
0.641 0.323 0.397
0.974 0.988 0.109
0.978 0.001 0.634
0.312 0.662 0.873
```



Run y
RbBaOs: optimized geometry, PBE-GGA.

Computed properties:
DOS(E_F)	14.47	states/eV/cell
space group	No. 8

The structure in POSCAR format:
```
RbBaOs
1.0
-2.918 -2.623 -1.738
1.316 -3.880 3.646
-15.807 8.194 14.426
Os Ba Rb
4 4 4
Direct
0.658 0.000 0.457
0.658 0.500 0.957
0.158 0.000 0.503
0.158 0.500 0.003
0.654 0.000 0.032
0.654 0.500 0.532
0.141 0.000 0.638
0.141 0.500 0.138
0.153 0.000 0.893
0.153 0.500 0.393
0.647 0.000 0.280
0.647 0.500 0.780
```



Run z
RbBaOs: optimized geometry, PBE-GGA.

Computed properties:
DOS(E_F)	11.87	states/eV/cell
space group	No. 63

The structure in POSCAR format:
```
RbBaOs
1.0
4.904 0.000 0.000
0.000 27.832 0.000
0.000 0.000 4.302
Rb Ba Os
4 4 4
Direct
0.000 0.681 0.250
0.000 0.319 0.750
0.500 0.181 0.250
0.500 0.819 0.750
0.000 0.939 0.250
0.000 0.061 0.750
0.500 0.439 0.250
0.500 0.561 0.750
0.000 0.519 0.250
0.000 0.481 0.750
0.500 0.019 0.250
0.500 0.981 0.750
```



What should be chosen as the least stable of them? Choose run y.



Run w
RbBaOs: optimized geometry, PBE-GGA.

Computed properties:
DOS(E_F)	4.86	states/eV/cell
space group	No. 1

The structure in POSCAR format:
```
RbBaOs
1.0
-0.006 -0.618 -4.315
3.717 -0.981 -2.056
-1.895 -17.654 0.428
Os Ba Rb
2 2 2
Direct
0.093 0.284 0.744
0.747 0.939 0.743
0.460 0.656 0.614
0.380 0.567 0.873
0.877 0.078 0.366
0.638 0.819 0.121
```



Run x
RbBaOs: optimized geometry, PBE-GGA.

Computed properties:
DOS(E_F)	5.73	states/eV/cell
space group	No. 8

The structure in POSCAR format:
```
RbBaOs
1.0
-1.677 -0.510 -2.609
3.597 -1.421 -2.034
-2.714 -15.314 5.898
Rb Ba Os
2 2 2
Direct
0.168 0.000 0.231
0.168 0.500 0.731
0.240 0.000 0.470
0.240 0.500 0.970
0.709 0.000 0.867
0.709 0.500 0.367
```



What should be chosen as the least stable of them? Choose run x.



Run w
Rb2BaOs: optimized geometry, PBE-GGA.

Computed properties:
DOS(E_F)	9.58	states/eV/cell
space group	No. 122

The structure in POSCAR format:
```
Rb2BaOs
1.0
-3.287 -2.155 -2.996
-2.269 -1.985 3.916
-10.783 8.875 1.371
Os Ba Rb
2 2 4
Direct
0.000 0.000 0.000
0.750 0.250 0.500
0.500 0.500 0.000
0.250 0.750 0.500
0.648 0.125 0.250
0.102 0.625 0.250
0.375 0.352 0.750
0.875 0.898 0.750
```



Run x
Rb2BaOs: optimized geometry, PBE-GGA.

Computed properties:
DOS(E_F)	8.27	states/eV/cell
space group	No. 225

The structure in POSCAR format:
```
Rb2BaOs
1.0
-5.518 -0.590 2.193
-4.723 0.651 -3.589
-3.304 -4.745 -1.473
Os Ba Rb
1 1 2
Direct
0.500 0.500 0.500
0.000 0.000 0.000
0.250 0.250 0.250
0.750 0.750 0.750
```



What should be chosen as the least stable of them? Choose run x.



Run w
RbBa2Os: optimized geometry, PBE-GGA.

Computed properties:
DOS(E_F)	3.86	states/eV/cell
space group	No. 122

The structure in POSCAR format:
```
RbBa2Os
1.0
9.063 0.000 0.000
0.000 9.063 0.000
4.531 4.531 6.422
Os Ba Rb
2 4 2
Direct
0.000 0.000 0.000
0.750 0.250 0.500
0.873 0.125 0.250
0.877 0.625 0.250
0.375 0.127 0.750
0.875 0.123 0.750
0.500 0.500 0.000
0.250 0.750 0.500
```



Run x
RbBa2Os: optimized geometry, PBE-GGA.

Computed properties:
DOS(E_F)	3.52	states/eV/cell
space group	No. 225

The structure in POSCAR format:
```
RbBa2Os
1.0
-1.282 -5.488 1.060
-2.463 -1.461 4.968
-5.477 -1.698 0.095
Os Ba Rb
1 2 1
Direct
0.500 0.500 0.500
0.250 0.250 0.250
0.750 0.750 0.750
0.000 0.000 0.000
```



What should be chosen as the least stable of them? Choose run x.



Run w
Ba2ReOs: optimized geometry, PBE-GGA.

Computed properties:
DOS(E_F)	4.83	states/eV/cell
space group	No. 123

The structure in POSCAR format:
```
Ba2ReOs
1.0
-0.528 3.553 2.670
-4.200 0.480 -1.469
-1.639 -3.023 3.699
Re Os Ba
1 1 2
Direct
0.000 0.500 0.500
0.500 0.000 0.500
0.000 0.000 0.000
0.500 0.500 0.000
```



Run x
Ba2ReOs: optimized geometry, PBE-GGA.

Computed properties:
DOS(E_F)	3.41	states/eV/cell
space group	No. 225

The structure in POSCAR format:
```
Ba2ReOs
1.0
5.230 -1.411 -0.504
2.953 -1.124 4.429
1.547 -5.117 1.012
Re Os Ba
1 1 2
Direct
0.000 0.000 0.000
0.500 0.500 0.500
0.250 0.250 0.250
0.750 0.750 0.750
```



What should be chosen as the least stable of them? Choose run x.